No. 1
A geometry-optimized SmTl2Hg structure. Source: Alexandria, functional GGA-PBE.

Lattice parameters (Å, degrees): 11.732 11.732 11.732 17.31 17.31 17.31
Element x y z (fractional)
Sm1 0.000 0.000 0.000
Tl1 0.092 0.092 0.092
Tl2 0.908 0.908 0.908
Hg1 0.500 0.500 0.500

Output
**Size of the total moment**: 0.00 μB/cell
**SG**: R-3m, No. 166
**E_form**: 9.6 kJ per mole of atoms



No. 2
A geometry-optimized NaAlMo3 structure. Source: Alexandria, functional GGA-PBE.

Lattice parameters (Å, degrees): 4.671 4.671 4.671 90.00 90.00 90.00
Element x y z (fractional)
Na1 0.000 0.000 0.000
Al1 0.500 0.500 0.500
Mo1 0.000 0.500 0.500
Mo2 0.500 0.000 0.500
Mo3 0.500 0.500 0.000

Output
**Energy relative to the lowest polymorph listed for this composition**: 0.000 eV/atom
**Size of the total moment**: 0.00 μB/cell
**SG**: Pm-3m, No. 221
**E_form**: 165.2 kJ per mole of atoms



No. 3
A geometry-optimized MnGaMo2H structure. Source: Alexandria, functional GGA-PBE.

Lattice parameters (Å, degrees): 3.919 3.919 3.994 90.00 90.00 90.00
Element x y z (fractional)
Mn1 0.000 0.000 0.000
Ga1 0.500 0.500 0.000
Mo1 0.000 0.500 0.500
Mo2 0.500 0.000 0.500
H1 0.000 0.000 0.500

Output
**Size of the total moment**: 2.33 μB/cell
**SG**: P4/mmm, No. 123
**E_tot**: -7.42 eV per atom



No. 4
A geometry-optimized RbPu2Cl6 structure. Source: Alexandria, functional GGA-PBE.

Lattice parameters (Å, degrees): 7.291 7.291 7.134 90.00 90.00 120.00
Element x y z (fractional)
Rb1 0.000 0.000 0.000
Pu1 0.333 0.667 0.500
Pu2 0.667 0.333 0.500
Cl1 0.000 0.374 0.720
Cl2 0.000 0.626 0.280
Cl3 0.374 0.000 0.720
Cl4 0.374 0.374 0.280
Cl5 0.626 0.000 0.280
Cl6 0.626 0.626 0.720

Output
**Energy relative to the lowest polymorph listed for this composition**: 0.000 eV/atom
**Size of the total moment**: 11.00 μB/cell
**SG**: P-31m, No. 162
**Formation energy without anion corrections**: -1.964 eV/atom



Number 4 is which compound?
RbPu2Cl6



Look up the size of the total moment of the first one.
0.00 μB/cell



Which value of size of the total moment does entry 4 give?
11.00 μB/cell